Record 1
Material: NdY4Th
Method: DFT, PBE-GGA
State: optimized geometry

Summary:
Fermi-level density of states in states/eV/cell: 9.9
Energy of formation from the pure elements in eV/atom: 0.076
Space group: C2/m (12)

abc: 5.6951 5.6951 6.9862
angles: 90.06 90.06 60.03
With the nearest neighbours (Å) after each atom.
Element x y z (fractional)
Nd (0.0000, 0.0000, 0.0000)  2 Th 3.49, 12 Y 3.72-3.73
Y (0.3332, 0.3332, 0.2508)  5 Y 3.29-3.50
Y (0.3335, 0.3335, 0.7492)  5 Y 3.29-3.50
Y (0.6665, 0.6665, 0.2508)  5 Y 3.29-3.50
Y (0.6668, 0.6668, 0.7492)  5 Y 3.29-3.50
Th (0.0000, 0.0000, 0.5000)  2 Nd 3.49, 12 Y 3.72

---

Record 2
Material: NdY7Th2
Method: DFT, PBE-GGA
State: optimized geometry

Summary:
Fermi-level density of states in states/eV/cell: 15.6
Energy of formation from the pure elements in eV/atom: 0.034
Space group: P-1 (2)

abc: 6.1940 7.1490 8.0605
angles: 76.95 74.89 73.66
With the nearest neighbours (Å) after each atom.
Element x y z (fractional)
Nd (0.0000, 0.0000, 0.0000)  10 Y 3.57-3.63, 2 Th 3.61
Y (0.0000, 0.5000, 0.0000)  8 Y 3.57-3.62, 2 Nd 3.57, 2 Th 3.59
Y (0.1977, 0.2986, 0.5982)  4 Th 3.53-3.61, 7 Y 3.54-3.62, 1 Nd 3.58
Y (0.3964, 0.0992, 0.2063)  3 Th 3.53-3.60, 7 Y 3.54-3.69, 2 Nd 3.60-3.61
Y (0.4038, 0.5989, 0.2044)  9 Y 3.56-3.66, 2 Th 3.57-3.59, 1 Nd 3.63
Y (0.5962, 0.4011, 0.7956)  9 Y 3.56-3.66, 2 Th 3.57-3.59, 1 Nd 3.63
Y (0.6036, 0.9008, 0.7937)  3 Th 3.53-3.60, 7 Y 3.54-3.69, 2 Nd 3.60-3.61
Y (0.8023, 0.7014, 0.4018)  4 Th 3.53-3.61, 7 Y 3.54-3.62, 1 Nd 3.58
Th (0.1966, 0.8014, 0.5982)  10 Y 3.53-3.61, 1 Th 3.55, 1 Nd 3.61
Th (0.8034, 0.1986, 0.4018)  10 Y 3.53-3.61, 1 Th 3.55, 1 Nd 3.61

---

Record 3
Material: Nd3YTh2
Method: DFT, PBE-GGA
State: optimized geometry

Summary:
Fermi-level density of states in states/eV/cell: 16.4
Energy of formation from the pure elements in eV/atom: 0.167
Space group: Cmcm (63)

abc: 9.4818 9.4818 6.6891
angles: 90.00 90.00 136.96
With the nearest neighbours (Å) after each atom.
Element x y z (fractional)
Nd (0.0788, 0.4251, 0.7500)  5 Nd 3.45-3.80, 2 Th 3.48, 3 Y 3.63-3.79
Nd (0.1470, 0.8530, 0.7500)  2 Y 3.48, 4 Th 3.55, 6 Nd 3.61-3.80
Nd (0.4251, 0.0788, 0.2500)  5 Nd 3.45-3.80, 2 Th 3.48, 3 Y 3.63-3.79
Nd (0.5749, 0.9212, 0.7500)  5 Nd 3.45-3.80, 2 Th 3.48, 3 Y 3.63-3.79
Nd (0.8530, 0.1470, 0.2500)  2 Y 3.48, 4 Th 3.55, 6 Nd 3.61-3.80
Nd (0.9212, 0.5749, 0.2500)  5 Nd 3.45-3.80, 2 Th 3.48, 3 Y 3.63-3.79
Y (0.3534, 0.6466, 0.2500)  8 Nd 3.48-3.79, 4 Th 3.53
Y (0.6466, 0.3534, 0.7500)  8 Nd 3.48-3.79, 4 Th 3.53
Th (0.2529, 0.2529, 0.0000)  4 Th 3.34-3.52, 4 Nd 3.48-3.55, 2 Y 3.53
Th (0.2529, 0.2529, 0.5000)  4 Th 3.34-3.52, 4 Nd 3.48-3.55, 2 Y 3.53
Th (0.7471, 0.7471, 0.0000)  4 Th 3.34-3.52, 4 Nd 3.48-3.55, 2 Y 3.53
Th (0.7471, 0.7471, 0.5000)  4 Th 3.34-3.52, 4 Nd 3.48-3.55, 2 Y 3.53

---

Record 4
Material: Nd3Y4Th
Method: DFT, PBE-GGA
State: optimized geometry

Summary:
Fermi-level density of states in states/eV/cell: 18.1
Energy of formation from the pure elements in eV/atom: 0.410
Space group: Cmmm (65)

abc: 8.9961 8.9961 3.4175
angles: 90.00 90.00 96.84
With the nearest neighbours (Å) after each atom.
Element x y z (fractional)
Nd (0.0000, 0.0000, 0.0000)  6 Y 3.39-3.53, 2 Nd 3.42
Nd (0.0000, 0.5000, 0.5000)  6 Y 3.37-3.44, 2 Nd 3.42
Nd (0.5000, 0.0000, 0.5000)  6 Y 3.37-3.44, 2 Nd 3.42
Y (0.2519, 0.7481, 0.0000)  1 Th 3.34, 5 Nd 3.39-3.44, 2 Y 3.42
Y (0.2585, 0.2585, 0.5000)  2 Th 3.35, 4 Nd 3.37-3.53, 2 Y 3.42
Y (0.7415, 0.7415, 0.5000)  2 Th 3.35, 4 Nd 3.37-3.53, 2 Y 3.42
Y (0.7481, 0.2519, 0.0000)  1 Th 3.34, 5 Nd 3.39-3.44, 2 Y 3.42
Th (0.5000, 0.5000, 0.0000)  6 Y 3.34-3.35, 2 Th 3.42

---

Record 5
Material: Nd7Y12Th
Method: DFT, PBE-GGA
State: optimized geometry

Summary:
Fermi-level density of states in states/eV/cell: 31.1
Energy of formation from the pure elements in eV/atom: 0.658
Space group: Im-3m (229)

abc: 9.8394 9.8394 9.8394
angles: 109.47 109.47 109.47
With the nearest neighbours (Å) after each atom.
Element x y z (fractional)
Nd (0.0000, 0.0000, 0.5000)  6 Y 2.84
Nd (0.0000, 0.5000, 0.0000)  6 Y 2.84
Nd (0.0000, 0.5000, 0.5000)  12 Y 4.02-4.10
Nd (0.5000, 0.0000, 0.0000)  6 Y 2.84
Nd (0.5000, 0.0000, 0.5000)  12 Y 4.02-4.10
Nd (0.5000, 0.5000, 0.0000)  12 Y 4.02-4.10
Nd (0.5000, 0.5000, 0.5000)  6 Y 2.84
Y (0.0000, 0.2446, 0.7554)  2 Nd 2.84
Y (0.0000, 0.7554, 0.2446)  2 Nd 2.84
Y (0.2446, 0.0000, 0.7554)  2 Nd 2.84
Y (0.2446, 0.2446, 0.4892)  2 Nd 2.84
Y (0.2446, 0.4892, 0.2446)  2 Nd 2.84
Y (0.2446, 0.7554, 0.0000)  2 Nd 2.84
Y (0.4892, 0.2446, 0.2446)  2 Nd 2.84
Y (0.5108, 0.7554, 0.7554)  2 Nd 2.84
Y (0.7554, 0.0000, 0.2446)  2 Nd 2.84
Y (0.7554, 0.2446, 0.0000)  2 Nd 2.84
Y (0.7554, 0.5108, 0.7554)  2 Nd 2.84
Y (0.7554, 0.7554, 0.5108)  2 Nd 2.84
Th (0.0000, 0.0000, 0.0000)  12 Y 3.93

---

Record 6
Material: NdY6Th
Method: DFT, PBE-GGA
State: optimized geometry

Summary:
Fermi-level density of states in states/eV/cell: 12.6
Energy of formation from the pure elements in eV/atom: 0.031
Space group: P4/mmm (123)

abc: 5.0707 5.0707 10.1525
angles: 90.00 90.00 90.00
With the nearest neighbours (Å) after each atom.
Element x y z (fractional)
Nd (0.0000, 0.0000, 0.0000)  12 Y 3.59-3.62
Y (0.0000, 0.5000, 0.2544)  8 Y 3.56-3.62, 2 Th 3.56, 2 Nd 3.62
Y (0.0000, 0.5000, 0.7456)  8 Y 3.56-3.62, 2 Th 3.56, 2 Nd 3.62
Y (0.5000, 0.0000, 0.2544)  8 Y 3.56-3.62, 2 Th 3.56, 2 Nd 3.62
Y (0.5000, 0.0000, 0.7456)  8 Y 3.56-3.62, 2 Th 3.56, 2 Nd 3.62
Y (0.5000, 0.5000, 0.0000)  4 Nd 3.59, 8 Y 3.62
Y (0.5000, 0.5000, 0.5000)  8 Y 3.56, 4 Th 3.59
Th (0.0000, 0.0000, 0.5000)  12 Y 3.56-3.59

---

Record 7
Material: Nd4YTh
Method: DFT, PBE-GGA
State: optimized geometry

Summary:
Fermi-level density of states in states/eV/cell: 9.0
Energy of formation from the pure elements in eV/atom: 0.036
Space group: P-1 (2)

abc: 3.6343 6.3080 9.6516
angles: 77.39 79.30 73.71
With the nearest neighbours (Å) after each atom.
Element x y z (fractional)
Nd (0.1631, 0.0021, 0.1721)  2 Th 3.60, 7 Nd 3.60-3.74, 3 Y 3.64-3.70
Nd (0.1647, 0.5071, 0.6627)  7 Nd 3.59-3.69, 3 Th 3.59-3.67, 2 Y 3.67-3.68
Nd (0.8353, 0.4929, 0.3373)  7 Nd 3.59-3.69, 3 Th 3.59-3.67, 2 Y 3.67-3.68
Nd (0.8369, 0.9979, 0.8279)  2 Th 3.60, 7 Nd 3.60-3.74, 3 Y 3.64-3.70
Y (0.5000, 0.5000, 0.0000)  2 Y 3.63, 10 Nd 3.64-3.70
Th (0.5000, 0.0000, 0.5000)  10 Nd 3.59-3.67, 2 Th 3.63

---

Record 8
Material: Nd4Y8Th
Method: DFT, PBE-GGA
State: optimized geometry

Summary:
Fermi-level density of states in states/eV/cell: 22.8
Energy of formation from the pure elements in eV/atom: 0.513
Space group: R-3m (166)

abc: 7.8552 7.8552 7.8552
angles: 90.08 90.08 90.08
With the nearest neighbours (Å) after each atom.
Element x y z (fractional)
Nd (0.0000, 0.0000, 0.0000)  8 Y 3.28-3.29
Nd (0.0000, 0.5000, 0.5000)  8 Y 3.44
Nd (0.5000, 0.0000, 0.5000)  8 Y 3.44
Nd (0.5000, 0.5000, 0.0000)  8 Y 3.44
Y (0.2414, 0.2414, 0.2414)  4 Nd 3.28-3.44, 1 Th 3.51
Y (0.2411, 0.2411, 0.7581)  4 Nd 3.29-3.44, 1 Th 3.52
Y (0.2411, 0.7581, 0.2411)  4 Nd 3.29-3.44, 1 Th 3.52
Y (0.2419, 0.7589, 0.7589)  4 Nd 3.29-3.44, 1 Th 3.52
Y (0.7581, 0.2411, 0.2411)  4 Nd 3.29-3.44, 1 Th 3.52
Y (0.7589, 0.2419, 0.7589)  4 Nd 3.29-3.44, 1 Th 3.52
Y (0.7589, 0.7589, 0.2419)  4 Nd 3.29-3.44, 1 Th 3.52
Y (0.7586, 0.7586, 0.7586)  4 Nd 3.28-3.44, 1 Th 3.51
Th (0.5000, 0.5000, 0.5000)  8 Y 3.51-3.52, 6 Nd 3.93

---

Record 9
Material: NdY4Th2
Method: DFT, PBE-GGA
State: optimized geometry

Summary:
Fermi-level density of states in states/eV/cell: 12.7
Energy of formation from the pure elements in eV/atom: 0.801
Space group: I4/mmm (139)

abc: 9.2292 9.2292 9.2292
angles: 144.49 144.49 51.10
With the nearest neighbours (Å) after each atom.
Element x y z (fractional)
Nd (0.0000, 0.0000, 0.0000)  6 Y 2.81-3.01
Y (0.0000, 0.5000, 0.5000)  2 Nd 2.81
Y (0.1809, 0.1809, 0.0000)  1 Nd 3.01
Y (0.5000, 0.0000, 0.5000)  2 Nd 2.81
Y (0.8191, 0.8191, 0.0000)  1 Nd 3.01
Th (0.3869, 0.3869, 0.0000)  5 Y 3.39-3.43, 1 Th 3.77
Th (0.6131, 0.6131, 0.0000)  5 Y 3.39-3.43, 1 Th 3.77

---

Record 10
Material: Nd5Y4Th
Method: DFT, PBE-GGA
State: optimized geometry

Summary:
Fermi-level density of states in states/eV/cell: 15.0
Energy of formation from the pure elements in eV/atom: 0.043
Space group: C2/m (12)

abc: 8.8058 8.8058 11.6322
angles: 108.22 108.22 23.36
With the nearest neighbours (Å) after each atom.
Element x y z (fractional)
Nd (0.0000, 0.0000, 0.0000)  6 Y 3.40-3.75, 6 Nd 3.57-3.59
Nd (0.2973, 0.2973, 0.3898)  6 Nd 3.57-3.89, 5 Y 3.57-3.94, 2 Th 3.77
Nd (0.3097, 0.3097, 0.9177)  4 Y 3.36-3.63, 6 Nd 3.57-3.69
Nd (0.6903, 0.6903, 0.0823)  4 Y 3.36-3.63, 6 Nd 3.57-3.69
Nd (0.7027, 0.7027, 0.6102)  6 Nd 3.57-3.89, 5 Y 3.57-3.94, 2 Th 3.77
Y (0.1050, 0.1050, 0.7977)  1 Th 3.36, 6 Nd 3.36-3.63, 4 Y 3.54-3.57
Y (0.4176, 0.4176, 0.7025)  4 Y 3.54-3.57, 6 Nd 3.56-3.94, 2 Th 3.59
Y (0.5824, 0.5824, 0.2975)  4 Y 3.54-3.57, 6 Nd 3.56-3.94, 2 Th 3.59
Y (0.8950, 0.8950, 0.2023)  1 Th 3.36, 6 Nd 3.36-3.63, 4 Y 3.54-3.57
Th (0.0000, 0.0000, 0.5000)  6 Y 3.36-3.59, 2 Th 3.57

---

Record 11
Material: Nd2Y3Th3
Method: DFT, PBE-GGA
State: optimized geometry

Summary:
Fermi-level density of states in states/eV/cell: 11.4
Energy of formation from the pure elements in eV/atom: 0.175
Space group: P-62m (189)

abc: 9.1320 9.1320 3.6872
angles: 90.00 90.00 120.00
With the nearest neighbours (Å) after each atom.
Element x y z (fractional)
Nd (0.3333, 0.6667, 0.0000)  6 Y 3.36, 3 Th 3.64, 2 Nd 3.69
Nd (0.6667, 0.3333, 0.0000)  6 Y 3.36, 3 Th 3.64, 2 Nd 3.69
Y (0.0000, 0.3956, 0.5000)  4 Nd 3.36, 4 Th 3.64, 2 Y 3.69
Y (0.3956, 0.0000, 0.5000)  4 Nd 3.36, 4 Th 3.64, 2 Y 3.69
Y (0.6044, 0.6044, 0.5000)  4 Nd 3.36, 4 Th 3.64, 2 Y 3.69
Th (0.0000, 0.7751, 0.0000)  4 Th 3.56-3.69, 6 Y 3.64-3.93, 2 Nd 3.64
Th (0.2249, 0.2249, 0.0000)  4 Th 3.56-3.69, 6 Y 3.64-3.93, 2 Nd 3.64
Th (0.7751, 0.0000, 0.0000)  4 Th 3.56-3.69, 6 Y 3.64-3.93, 2 Nd 3.64

---

Record 12
Material: Nd4Y15Th
Method: DFT, PBE-GGA
State: optimized geometry

Summary:
Fermi-level density of states in states/eV/cell: 29.9
Energy of formation from the pure elements in eV/atom: 0.024
Space group: P4/mmm (123)

abc: 5.0943 5.0943 25.3487
angles: 90.00 90.00 90.00
With the nearest neighbours (Å) after each atom.
Element x y z (fractional)
Nd (0.0000, 0.0000, 0.1004)  12 Y 3.60
Nd (0.0000, 0.0000, 0.3011)  12 Y 3.60-3.62
Nd (0.0000, 0.0000, 0.6989)  12 Y 3.60-3.62
Nd (0.0000, 0.0000, 0.8996)  12 Y 3.60
Y (0.0000, 0.5000, 0.0000)  4 Nd 3.60, 8 Y 3.60
Y (0.0000, 0.5000, 0.2009)  8 Y 3.59-3.60, 4 Nd 3.60
Y (0.0000, 0.5000, 0.4025)  2 Th 3.55, 8 Y 3.55-3.62, 2 Nd 3.62
Y (0.0000, 0.5000, 0.5975)  2 Th 3.55, 8 Y 3.55-3.62, 2 Nd 3.62
Y (0.0000, 0.5000, 0.7991)  8 Y 3.59-3.60, 4 Nd 3.60
Y (0.5000, 0.0000, 0.0000)  4 Nd 3.60, 8 Y 3.60
Y (0.5000, 0.0000, 0.2009)  8 Y 3.59-3.60, 4 Nd 3.60
Y (0.5000, 0.0000, 0.4025)  2 Th 3.55, 8 Y 3.55-3.62, 2 Nd 3.62
Y (0.5000, 0.0000, 0.5975)  2 Th 3.55, 8 Y 3.55-3.62, 2 Nd 3.62
Y (0.5000, 0.0000, 0.7991)  8 Y 3.59-3.60, 4 Nd 3.60
Y (0.5000, 0.5000, 0.1005)  8 Y 3.60, 4 Nd 3.60
Y (0.5000, 0.5000, 0.3008)  8 Y 3.59-3.62, 4 Nd 3.60
Y (0.5000, 0.5000, 0.5000)  8 Y 3.55, 4 Th 3.60
Y (0.5000, 0.5000, 0.6992)  8 Y 3.59-3.62, 4 Nd 3.60
Y (0.5000, 0.5000, 0.8995)  8 Y 3.60, 4 Nd 3.60
Th (0.0000, 0.0000, 0.5000)  12 Y 3.55-3.60

---

Sequential V output: 196, 326, 410, 275, 733, 261, 205, 485, 264, 339, 266, 658 Å³/cell
Sequential calculated density output: 6191, 6265, 7976, 6170, 5228, 5787, 7258, 5208, 6067, 6412, 7802, 5408 kg/m³